# PBE FeTcSe2, optimized geometry
# VASP energy   -77.411 eV/cell
# Total magnetization   2.4 μB/f.u.
# Raw formation energy   -0.002 eV/atom
# DOS at the Fermi energy   9.90 states/eV/cell
data_FeTcSe2
_space_group_name_H-M_alt 'R 3 m'
_space_group_IT_number 160
_space_group_name_Hall 'R 3 -2"'
_cell_length_a 3.0772
_cell_length_b 3.0772
_cell_length_c 28.9674
_cell_angle_alpha 90.00
_cell_angle_beta 90.00
_cell_angle_gamma 120.00
loop_
_atom_site_label
_atom_site_fract_x
_atom_site_fract_y
_atom_site_fract_z
Fe1 0.0000 0.0000 0.0000
Tc1 0.0000 0.0000 0.2592
Se1 0.0000 0.0000 0.5347
Se2 0.0000 0.0000 0.7220



# PBE Ac2P3Pd4Pt, optimized geometry
# DFT formation energy   -0.83 eV/atom
# VASP energy   -59.550 eV/cell
# Total magnetization   0.0 μB/f.u.
# DOS at the Fermi energy   7.39 states/eV/cell
data_Ac2P3Pd4Pt
_space_group_name_H-M_alt 'P -4 m 2'
_space_group_IT_number 115
_cell_length_a 4.342
_cell_length_b 4.342
_cell_length_c 10.328
_cell_angle_alpha 90.00
_cell_angle_beta 90.00
_cell_angle_gamma 90.00
loop_
_space_group_symop_operation_xyz
'x,y,z'
'y,-x,-z'
'-x,-y,z'
'-y,x,-z'
'-x,y,z'
'-y,-x,-z'
'x,-y,z'
'y,x,-z'
loop_
_atom_site_label
_atom_site_fract_x
_atom_site_fract_y
_atom_site_fract_z
Ac1 0.000 0.500 0.244
P1 0.000 0.000 0.000
P2 0.000 0.500 0.622
Pd1 0.000 0.000 0.500
Pd2 0.000 0.500 0.850
Pd3 0.500 0.500 0.500
Pt1 0.500 0.500 0.000